VASP calculation (SCAN) on YTeSe2 at its PBEsol-relaxed geometry.

Cell lengths 4.276, 4.900, 10.312 Å; angles 90.00, 90.00, 90.00 degrees
Space group Immm (No. 71)
Asymmetric unit:
Y (0.000, 0.000, 0.000) [2 per cell]
Te (0.000, 0.000, 0.500) [2 per cell]
Se (0.000, 0.500, 0.323) [4 per cell]

Results
Calculated total energy ... -27.222 eV per atom
Total magnetic moment ... 0.0 μB per cell
Energy relative to the elements, uncorrected ... -3.636 eV per formula unit

=====

VASP calculation (SCAN) on Ta2Zn2Sn at its PBEsol-relaxed geometry.

Cell lengths 3.650, 3.650, 13.523 Å; angles 90.00, 90.00, 90.00 degrees
Space group I4/mmm (No. 139)
Asymmetric unit:
Ta (0.000, 0.000, 0.096) [4 per cell]
Zn (0.000, 0.500, 0.250) [4 per cell]
Sn (0.000, 0.000, 0.500) [2 per cell]

Results
Calculated total energy ... -38.843 eV per atom
Total magnetic moment ... 0.0 μB per cell
DFT formation energy ... 381 meV/atom

=====

VASP calculation (SCAN) on LiZrSc2 at its PBEsol-relaxed geometry.

Cell lengths 6.474, 8.599, 3.131 Å; angles 90.00, 90.00, 90.00 degrees
Space group Cmmm (No. 65)
Asymmetric unit:
Li (0.000, 0.000, 0.000) [2 per cell]
Zr (0.000, 0.500, 0.000) [2 per cell]
Sc (0.250, 0.250, 0.500) [4 per cell]

Results
Calculated total energy ... -15.184 eV per atom
Total magnetic moment ... 0.0 μB per cell
ΔE to the lowest computed polymorph ... 134 meV/atom
DFT formation energy ... 207 meV/atom

=====

VASP calculation (SCAN) on SrCoCl2 at its PBEsol-relaxed geometry.

Cell lengths 3.956, 3.956, 10.782 Å; angles 90.00, 90.00, 90.00 degrees
Space group I-4m2 (No. 119)
Asymmetric unit:
Sr (0.000, 0.000, 0.000) [2 per cell]
Co (0.000, 0.500, 0.750) [2 per cell]
Cl (0.000, 0.000, 0.500) [2 per cell]
Cl (0.000, 0.500, 0.250) [2 per cell]

Results
Calculated total energy ... -14.843 eV per atom
Total magnetic moment ... 3.4 μB per cell
ΔE to the lowest computed polymorph ... 151 meV/atom
Energy relative to the elements, uncorrected ... -3.836 eV per formula unit

=====

VASP calculation (SCAN) on CoRu2Br at its PBEsol-relaxed geometry.

Cell lengths 2.799, 4.774, 8.683 Å; angles 90.00, 90.00, 90.00 degrees
Space group Cmmm (No. 65)
Asymmetric unit:
Co (0.000, 0.000, 0.000) [2 per cell]
Ru (0.000, 0.500, 0.231) [4 per cell]
Br (0.000, 0.000, 0.500) [2 per cell]

Results
Calculated total energy ... -25.682 eV per atom
Total magnetic moment ... 8.3 μB per cell
ΔE to the lowest computed polymorph ... 102 meV/atom
Energy relative to the elements, uncorrected ... 3.689 eV per formula unit

=====

VASP calculation (SCAN) on Tl2SbMo at its PBEsol-relaxed geometry.

Cell lengths 4.181, 4.181, 10.674 Å; angles 90.00, 90.00, 90.00 degrees
Space group I4/mmm (No. 139)
Asymmetric unit:
Tl (0.000, 0.500, 0.250) [4 per cell]
Sb (0.000, 0.000, 0.000) [2 per cell]
Mo (0.000, 0.000, 0.500) [2 per cell]

Results
Calculated total energy ... -53.520 eV per atom
Total magnetic moment ... 6.2 μB per cell
ΔE to the lowest computed polymorph ... 355 meV/atom
Energy relative to the elements, uncorrected ... 2.784 eV per formula unit

=====

VASP calculation (SCAN) on TlVSeO5 at its PBEsol-relaxed geometry.

Cell lengths 7.082, 8.581, 7.820 Å; angles 90.00, 90.00, 90.00 degrees
Space group Pna2_1 (No. 33)
Asymmetric unit:
Tl (0.027, 0.106, 0.000) [4 per cell]
V (0.216, 0.742, 0.108) [4 per cell]
Se (0.037, 0.521, 0.817) [4 per cell]
O (0.062, 0.178, 0.643) [4 per cell]
O (0.107, 0.545, 0.032) [4 per cell]
O (0.117, 0.629, 0.347) [4 per cell]
O (0.223, 0.820, 0.917) [4 per cell]
O (0.247, 0.425, 0.752) [4 per cell]

Results
Calculated total energy ... -19.271 eV per atom
Total magnetic moment ... 0.0 μB per cell
Energy relative to the elements, uncorrected ... -13.086 eV per formula unit

=====

VASP calculation (SCAN) on CaSbOs2Se at its PBEsol-relaxed geometry.

Cell lengths 4.731, 4.731, 5.360 Å; angles 90.00, 90.00, 90.00 degrees
Space group P4/mmm (No. 123)
Asymmetric unit:
Ca (0.000, 0.000, 0.000) [1 per cell]
Sb (0.000, 0.000, 0.500) [1 per cell]
Os (0.000, 0.500, 0.000) [2 per cell]
Se (0.500, 0.500, 0.500) [1 per cell]

Results
Calculated total energy ... -39.444 eV per atom
Total magnetic moment ... 3.2 μB per cell
Energy relative to the elements, uncorrected ... 13.540 eV per formula unit

=====

VASP calculation (SCAN) on SrAs2P2 at its PBEsol-relaxed geometry.

Cell lengths 4.087, 4.087, 12.520 Å; angles 90.00, 90.00, 90.00 degrees
Space group I4/mmm (No. 139)
Asymmetric unit:
Sr (0.000, 0.000, 0.000) [2 per cell]
As (0.000, 0.500, 0.250) [4 per cell]
P (0.000, 0.000, 0.415) [4 per cell]

Results
Calculated total energy ... -16.854 eV per atom
Total magnetic moment ... 0.0 μB per cell
DFT formation energy ... -163 meV/atom

=====

VASP calculation (SCAN) on BaAg2P2 at its PBEsol-relaxed geometry.

Cell lengths 4.444, 4.444, 10.365 Å; angles 90.00, 90.00, 90.00 degrees
Space group I4/mmm (No. 139)
Asymmetric unit:
Ba (0.000, 0.000, 0.000) [2 per cell]
Ag (0.000, 0.500, 0.250) [4 per cell]
P (0.000, 0.000, 0.389) [4 per cell]

Results
Calculated total energy ... -25.102 eV per atom
Total magnetic moment ... 0.0 μB per cell
DFT formation energy ... -486 meV/atom

=====

VASP calculation (SCAN) on LaIr2Os at its PBEsol-relaxed geometry.

Cell lengths 4.143, 4.143, 7.986 Å; angles 90.00, 90.00, 90.00 degrees
Space group I4/mmm (No. 139)
Asymmetric unit:
La (0.000, 0.000, 0.000) [2 per cell]
Ir (0.000, 0.500, 0.250) [4 per cell]
Os (0.000, 0.000, 0.500) [2 per cell]

Results
Calculated total energy ... -63.990 eV per atom
Total magnetic moment ... 0.0 μB per cell
ΔE to the lowest computed polymorph ... 302 meV/atom
DFT formation energy ... 306 meV/atom

=====

VASP calculation (SCAN) on CoPb3Au at its PBEsol-relaxed geometry.

Cell lengths 5.394, 5.394, 5.394 Å; angles 90.00, 90.00, 90.00 degrees
Space group Pm-3m (No. 221)
Asymmetric unit:
Co (0.000, 0.000, 0.000) [1 per cell]
Pb (0.000, 0.500, 0.500) [3 per cell]
Au (0.500, 0.500, 0.500) [1 per cell]

Results
Calculated total energy ... -61.943 eV per atom
Total magnetic moment ... 2.0 μB per cell
DFT formation energy ... 818 meV/atom

=====

VASP calculation (SCAN) on KRbNa2 at its PBEsol-relaxed geometry.

Cell lengths 9.596, 9.596, 9.596 Å; angles 90.00, 90.00, 90.00 degrees
Space group Fm-3m (No. 225)
Asymmetric unit:
K (0.000, 0.000, 0.000) [4 per cell]
Rb (0.000, 0.000, 0.500) [4 per cell]
Na (0.250, 0.250, 0.250) [8 per cell]

Results
Calculated total energy ... -9.342 eV per atom
Total magnetic moment ... 0.1 μB per cell
DFT formation energy ... 33 meV/atom

=====

VASP calculation (SCAN) on Hg2PtCl at its PBEsol-relaxed geometry.

Cell lengths 3.135, 3.135, 8.032 Å; angles 90.00, 90.00, 90.00 degrees
Space group P4mm (No. 99)
Asymmetric unit:
Hg (0.000, 0.000, 0.000) [1 per cell]
Hg (0.500, 0.500, 0.285) [1 per cell]
Pt (0.000, 0.000, 0.496) [1 per cell]
Cl (0.500, 0.500, 0.710) [1 per cell]

Results
Calculated total energy ... -53.364 eV per atom
Total magnetic moment ... 0.0 μB per cell
ΔE to the lowest computed polymorph ... 193 meV/atom
Energy relative to the elements, uncorrected ... 1.049 eV per formula unit

=====

VASP calculation (SCAN) on NiHgAu at its PBEsol-relaxed geometry.

Cell lengths 2.957, 2.957, 10.804 Å; angles 90.00, 90.00, 90.00 degrees
Space group I4mm (No. 107)
Asymmetric unit:
Ni (0.000, 0.000, 0.000) [2 per cell]
Hg (0.000, 0.000, 0.344) [2 per cell]
Au (0.000, 0.000, 0.648) [2 per cell]

Results
Calculated total energy ... -51.007 eV per atom
Total magnetic moment ... 0.0 μB per cell
ΔE to the lowest computed polymorph ... 0 meV/atom
DFT formation energy ... 158 meV/atom

=====

VASP calculation (SCAN) on Ni3RhC at its PBEsol-relaxed geometry.

Cell lengths 3.729, 3.729, 3.729 Å; angles 90.00, 90.00, 90.00 degrees
Space group Pm-3m (No. 221)
Asymmetric unit:
Ni (0.000, 0.000, 0.500) [3 per cell]
Rh (0.500, 0.500, 0.500) [1 per cell]
C (0.000, 0.000, 0.000) [1 per cell]

Results
Calculated total energy ... -18.184 eV per atom
Total magnetic moment ... 0.0 μB per cell
DFT formation energy ... 294 meV/atom

=====

VASP calculation (SCAN) on ReBSe2 at its PBEsol-relaxed geometry.

Cell lengths 5.301, 5.301, 9.498 Å; angles 90.00, 90.00, 90.00 degrees
Space group I-42d (No. 122)
Asymmetric unit:
Re (0.000, 0.000, 0.000) [4 per cell]
B (0.000, 0.000, 0.500) [4 per cell]
Se (0.198, 0.750, 0.625) [8 per cell]

Results
Calculated total energy ... -29.055 eV per atom
Total magnetic moment ... 0.0 μB per cell
Energy relative to the elements, uncorrected ... 2.464 eV per formula unit

=====

VASP calculation (SCAN) on Ca2InPb2 at its PBEsol-relaxed geometry.

Cell lengths 7.863, 7.863, 4.742 Å; angles 90.00, 90.00, 90.00 degrees
Space group P4/mbm (No. 127)
Asymmetric unit:
Ca (0.168, 0.332, 0.000) [4 per cell]
In (0.000, 0.000, 0.500) [2 per cell]
Pb (0.138, 0.638, 0.500) [4 per cell]

Results
Calculated total energy ... -41.430 eV per atom
Total magnetic moment ... 0.0 μB per cell
DFT formation energy ... -575 meV/atom

=====

VASP calculation (SCAN) on CaSiHg4 at its PBEsol-relaxed geometry.

Cell lengths 8.246, 8.246, 8.246 Å; angles 90.00, 90.00, 90.00 degrees
Space group F-43m (No. 216)
Asymmetric unit:
Ca (0.000, 0.000, 0.000) [4 per cell]
Si (0.250, 0.250, 0.750) [4 per cell]
Hg (0.125, 0.125, 0.375) [16 per cell]

Results
Calculated total energy ... -48.609 eV per atom
Total magnetic moment ... 0.0 μB per cell
Energy relative to the elements, uncorrected ... 0.692 eV per formula unit

=====

VASP calculation (SCAN) on KAuBr4 at its PBEsol-relaxed geometry.

Cell lengths 7.190, 6.008, 10.202 Å; angles 90.00, 121.91, 90.00 degrees
Space group P2_1/c (No. 14)
Asymmetric unit:
K (0.000, 0.000, 0.000) [2 per cell]
Au (0.500, 0.000, 0.500) [2 per cell]
Br (0.103, 0.022, 0.370) [4 per cell]
Br (0.463, 0.698, 0.327) [4 per cell]

Results
Calculated total energy ... -26.712 eV per atom
Total magnetic moment ... 0.0 μB per cell
Energy relative to the elements, uncorrected ... -4.947 eV per formula unit